[1]
# Ac2AlIn3Au4 | the Alexandria database | GGA-PBE | relaxed
# Energy of formation (kJ/mol of atoms): -56.8
# Spin magnetization (μB per cell): 0.0
# Symmetry: P-4m2 (115)
data_Ac2AlIn3Au4
_space_group_name_H-M_alt 'P 1'
_space_group_IT_number 1
_space_group_name_Hall 'P 1'
_cell_length_a 4.759
_cell_length_b 4.759
_cell_length_c 10.983
_cell_angle_alpha 90.00
_cell_angle_beta 90.00
_cell_angle_gamma 90.00
loop_
_atom_site_label
_atom_site_fract_x
_atom_site_fract_y
_atom_site_fract_z
Ac1 0.000 0.500 0.245
Ac2 0.500 0.000 0.755
Al1 0.000 0.000 0.500
In1 0.000 0.500 0.868
In2 0.500 0.000 0.132
In3 0.500 0.500 0.500
Au1 0.000 0.000 0.000
Au2 0.000 0.500 0.621
Au3 0.500 0.000 0.379
Au4 0.500 0.500 0.000



[2]
# TeBr | the Alexandria database | GGA-PBE | relaxed
# Spin magnetization (μB per cell): 0.0
# Symmetry: P4/mmm (123)
# Formation energy from raw total energies (eV/atom): 0.3505
data_TeBr
_space_group_name_H-M_alt 'P 1'
_space_group_IT_number 1
_space_group_name_Hall 'P 1'
_cell_length_a 3.384
_cell_length_b 3.384
_cell_length_c 4.683
_cell_angle_alpha 90.00
_cell_angle_beta 90.00
_cell_angle_gamma 90.00
loop_
_atom_site_label
_atom_site_fract_x
_atom_site_fract_y
_atom_site_fract_z
Te1 0.000 0.000 0.000
Br1 0.500 0.500 0.500



[3]
# SmSi2Sb2Pt7 | the Alexandria database | GGA-PBE | relaxed
# Spin magnetization (μB per cell): 0.0
# Symmetry: C2/m (12)
# Formation energy from raw total energies (eV/atom): -0.6538
data_SmSi2Sb2Pt7
_space_group_name_H-M_alt 'P 1'
_space_group_IT_number 1
_space_group_name_Hall 'P 1'
_cell_length_a 3.971
_cell_length_b 3.971
_cell_length_c 15.411
_cell_angle_alpha 97.38
_cell_angle_beta 97.38
_cell_angle_gamma 90.00
loop_
_atom_site_label
_atom_site_fract_x
_atom_site_fract_y
_atom_site_fract_z
Sm1 0.000 0.000 0.000
Si1 0.381 0.381 0.759
Si2 0.619 0.619 0.241
Sb1 0.211 0.211 0.423
Sb2 0.789 0.789 0.577
Pt1 0.075 0.575 0.151
Pt2 0.302 0.302 0.604
Pt3 0.425 0.925 0.849
Pt4 0.500 0.500 0.000
Pt5 0.575 0.075 0.151
Pt6 0.698 0.698 0.396
Pt7 0.925 0.425 0.849



[4]
# RbTlI2 | the Alexandria database | GGA-PBE | relaxed
# Excess energy over the best structure of this formula in the dataset (eV/atom): 0.0000
# Spin magnetization (μB per cell): 0.0
# Symmetry: C2/c (15)
# Formation energy from raw total energies (eV/atom): -1.0763
data_RbTlI2
_space_group_name_H-M_alt 'P 1'
_space_group_IT_number 1
_space_group_name_Hall 'P 1'
_cell_length_a 8.930
_cell_length_b 8.930
_cell_length_c 8.918
_cell_angle_alpha 99.45
_cell_angle_beta 99.45
_cell_angle_gamma 33.62
loop_
_atom_site_label
_atom_site_fract_x
_atom_site_fract_y
_atom_site_fract_z
Rb1 0.249 0.751 0.750
Rb2 0.751 0.249 0.250
Tl1 0.000 0.500 0.000
Tl2 0.500 0.000 0.500
I1 0.120 0.619 0.373
I2 0.381 0.880 0.127
I3 0.619 0.120 0.873
I4 0.880 0.381 0.627



[5]
# MgSc2Ni | the Alexandria database | GGA-PBE | relaxed
# Energy of formation (kJ/mol of atoms): -14.3
# Spin magnetization (μB per cell): 0.0
# Symmetry: Immm (71)
data_MgSc2Ni
_space_group_name_H-M_alt 'P 1'
_space_group_IT_number 1
_space_group_name_Hall 'P 1'
_cell_length_a 5.312
_cell_length_b 5.312
_cell_length_c 5.312
_cell_angle_alpha 139.56
_cell_angle_beta 124.06
_cell_angle_gamma 71.27
loop_
_atom_site_label
_atom_site_fract_x
_atom_site_fract_y
_atom_site_fract_z
Mg1 0.000 0.000 0.000
Sc1 0.294 0.794 0.500
Sc2 0.706 0.206 0.500
Ni1 0.500 0.500 0.000



[6]
# La3ErTh2As6 | the Alexandria database | GGA-PBE | relaxed
# Energy of formation (kJ/mol of atoms): -147.1
# Spin magnetization (μB per cell): 0.0
# Symmetry: C2/m (12)
data_La3ErTh2As6
_space_group_name_H-M_alt 'P 1'
_space_group_IT_number 1
_space_group_name_Hall 'P 1'
_cell_length_a 7.411
_cell_length_b 7.411
_cell_length_c 7.444
_cell_angle_alpha 99.54
_cell_angle_beta 99.54
_cell_angle_gamma 120.04
loop_
_atom_site_label
_atom_site_fract_x
_atom_site_fract_y
_atom_site_fract_z
La1 0.000 0.000 0.000
La2 0.333 0.667 0.000
La3 0.667 0.333 0.000
Er1 0.500 0.500 0.500
Th1 0.166 0.834 0.500
Th2 0.834 0.166 0.500
As1 0.092 0.421 0.262
As2 0.251 0.251 0.740
As3 0.421 0.092 0.262
As4 0.579 0.908 0.738
As5 0.749 0.749 0.260
As6 0.908 0.579 0.738